Density functional theory data (PBE with a Hubbard U) for a relaxed structure of TiVN2F.

Properties
ρ ... 4.30 g/cm³
Magnetic moment ... 2.0 μB/f.u.
Energy above the most stable polymorph in this dataset ... 23.2 kJ per mole of atoms

Unit cell a=3.8666 b=3.8666 c=3.7683 alpha=90.00 beta=90.00 gamma=90.00
Space group P4/mmm (No. 123)
Inequivalent atoms, fractional coordinates:
Ti 0.0000 0.0000 0.0000 x1
V 0.5000 0.5000 0.5000 x1
N 0.0000 0.5000 0.5000 x2
F 0.5000 0.5000 0.0000 x1

Density functional theory data (PBE with a Hubbard U) for a relaxed structure of TiVN2F.

Properties
ρ ... 4.05 g/cm³
Magnetic moment ... 2.6 μB/f.u.
Energy above the most stable polymorph in this dataset ... 0.0 kJ per mole of atoms

Unit cell a=3.9524 b=3.9524 c=3.8246 alpha=90.00 beta=90.00 gamma=90.00
Space group P4/mmm (No. 123)
Inequivalent atoms, fractional coordinates:
Ti 0.0000 0.0000 0.0000 x1
V 0.5000 0.5000 0.5000 x1
N 0.0000 0.5000 0.0000 x2
F 0.0000 0.0000 0.5000 x1

Q: Number 2 is which compound?
A: TiVN2F

Q: What is the ρ in the second record?
A: 4.05 g/cm³

Q: Look up the ρ of the second one.
A: 4.05 g/cm³

Q: Which value of energy above the most stable polymorph in this dataset does entry 1 give?
A: 23.2 kJ per mole of atoms